Entry 1:
First-principles (PBEsol) data for a relaxed TlCoP2 crystal, as listed in Alexandria via LeMat-Bulk.

Summary:
Its excess energy over the best structure of this formula in the dataset is 0.25 eV/f.u. The value obtained for the formation energy from the elements is -0.0932 eV/atom. As for the electronic total energy: -5.58 eV per atom. The space group is No. 10. The value obtained for the density of states at the Fermi level is 1.660 states/eV/f.u.

Cell lengths 4.304, 3.621, 4.875 Å; angles 90.00, 112.65, 90.00 degrees
Fractional positions:
Tl (0.000, 0.000, 0.000)
Co (0.500, 0.000, 0.500)
P (0.278, 0.500, 0.607)
P (0.722, 0.500, 0.393)

---

Entry 2:
First-principles (PBEsol) data for a relaxed Tl2Co2P crystal, as listed in Alexandria via LeMat-Bulk.

Summary:
The value obtained for the formation energy from the elements is 0.9788 eV/atom. As for the electronic total energy: -4.33 eV per atom. The space group is No. 139. The value obtained for the density of states at the Fermi level is 7.161 states/eV/f.u.

Cell lengths 6.441, 6.441, 6.441 Å; angles 143.76, 143.76, 52.19 degrees
Fractional positions:
Tl (0.250, 0.750, 0.500)
Tl (0.750, 0.250, 0.500)
Co (0.091, 0.091, 0.000)
Co (0.909, 0.909, 0.000)
P (0.500, 0.500, 0.000)

---

Entry 3:
First-principles (PBEsol) data for a relaxed TlCoP2 crystal, as listed in Alexandria via LeMat-Bulk.

Summary:
Its excess energy over the best structure of this formula in the dataset is 0.00 eV/f.u. The value obtained for the formation energy from the elements is -0.1563 eV/atom. As for the electronic total energy: -5.64 eV per atom. The space group is No. 12. The value obtained for the density of states at the Fermi level is 1.988 states/eV/f.u.

Cell lengths 3.697, 3.697, 6.466 Å; angles 103.27, 103.27, 54.48 degrees
Fractional positions:
Tl (0.000, 0.000, 0.000)
Co (0.500, 0.500, 0.500)
P (0.219, 0.219, 0.632)
P (0.781, 0.781, 0.368)

---

Entry 4:
First-principles (PBEsol) data for a relaxed TlCoP2 crystal, as listed in Alexandria via LeMat-Bulk.

Summary:
Its excess energy over the best structure of this formula in the dataset is 0.79 eV/f.u. The value obtained for the formation energy from the elements is 0.0414 eV/atom. As for the electronic total energy: -5.45 eV per atom. The space group is No. 6. The value obtained for the density of states at the Fermi level is 1.989 states/eV/f.u.

Cell lengths 3.676, 3.314, 5.831 Å; angles 90.00, 105.66, 90.00 degrees
Fractional positions:
Tl (0.000, 0.000, 0.000)
Co (0.629, 0.500, 0.263)
P (0.200, 0.500, 0.498)
P (0.608, 0.000, 0.515)

---

Entry 5:
First-principles (PBEsol) data for a relaxed TlCoP crystal, as listed in Alexandria via LeMat-Bulk.

Summary:
Its excess energy over the best structure of this formula in the dataset is 0.00 eV/f.u. The value obtained for the formation energy from the elements is 0.0153 eV/atom. As for the electronic total energy: -5.37 eV per atom. The space group is No. 156. The value obtained for the density of states at the Fermi level is 1.793 states/eV/f.u.

Cell lengths 3.204, 3.204, 5.704 Å; angles 90.00, 90.00, 120.00 degrees
Fractional positions:
Tl (0.000, 0.000, 0.000)
Co (0.333, 0.667, 0.626)
P (0.667, 0.333, 0.436)

---

Entry 6:
First-principles (PBEsol) data for a relaxed TmCo5P3 crystal, as listed in Alexandria via LeMat-Bulk.

Summary:
The value obtained for the formation energy from the elements is -0.9537 eV/atom. As for the electronic total energy: -7.73 eV per atom. The space group is No. 62. The value obtained for the density of states at the Fermi level is 6.119 states/eV/f.u.

Cell lengths 11.539, 3.575, 10.120 Å; angles 90.00, 90.00, 90.00 degrees
Fractional positions:
Tm (0.203, 0.250, 0.083)
Tm (0.297, 0.750, 0.583)
Tm (0.703, 0.250, 0.417)
Tm (0.797, 0.750, 0.917)
Co (0.008, 0.750, 0.717)
Co (0.013, 0.750, 0.093)
Co (0.069, 0.750, 0.468)
Co (0.177, 0.250, 0.780)
Co (0.198, 0.250, 0.383)
Co (0.302, 0.750, 0.883)
Co (0.323, 0.750, 0.280)
Co (0.431, 0.250, 0.968)
Co (0.487, 0.250, 0.593)
Co (0.492, 0.250, 0.217)
Co (0.508, 0.750, 0.783)
Co (0.513, 0.750, 0.407)
Co (0.569, 0.750, 0.032)
Co (0.677, 0.250, 0.720)
Co (0.698, 0.250, 0.117)
Co (0.802, 0.750, 0.617)
Co (0.823, 0.750, 0.220)
Co (0.931, 0.250, 0.532)
Co (0.987, 0.250, 0.907)
Co (0.992, 0.250, 0.283)
P (0.109, 0.750, 0.899)
P (0.112, 0.250, 0.583)
P (0.129, 0.750, 0.270)
P (0.371, 0.250, 0.770)
P (0.388, 0.750, 0.083)
P (0.391, 0.250, 0.399)
P (0.609, 0.750, 0.601)
P (0.612, 0.250, 0.917)
P (0.629, 0.750, 0.230)
P (0.871, 0.250, 0.730)
P (0.888, 0.750, 0.417)
P (0.891, 0.250, 0.101)

---

Entry 7:
First-principles (PBEsol) data for a relaxed Tm5Co19P12 crystal, as listed in Alexandria via LeMat-Bulk.

Summary:
The value obtained for the formation energy from the elements is -0.9994 eV/atom. As for the electronic total energy: -7.69 eV per atom. The space group is No. 189. The value obtained for the density of states at the Fermi level is 20.552 states/eV/f.u.

Cell lengths 11.791, 11.791, 3.597 Å; angles 90.00, 90.00, 120.00 degrees
Fractional positions:
Tm (0.000, 0.187, 0.000)
Tm (0.187, 0.000, 0.000)
Tm (0.333, 0.667, 0.500)
Tm (0.667, 0.333, 0.500)
Tm (0.813, 0.813, 0.000)
Co (0.000, 0.000, 0.500)
Co (0.000, 0.553, 0.500)
Co (0.000, 0.715, 0.000)
Co (0.126, 0.483, 0.000)
Co (0.178, 0.801, 0.500)
Co (0.199, 0.377, 0.500)
Co (0.285, 0.285, 0.000)
Co (0.358, 0.874, 0.000)
Co (0.377, 0.199, 0.500)
Co (0.447, 0.447, 0.500)
Co (0.483, 0.126, 0.000)
Co (0.517, 0.642, 0.000)
Co (0.553, 0.000, 0.500)
Co (0.623, 0.822, 0.500)
Co (0.642, 0.517, 0.000)
Co (0.715, 0.000, 0.000)
Co (0.801, 0.178, 0.500)
Co (0.822, 0.623, 0.500)
Co (0.874, 0.358, 0.000)
P (0.000, 0.367, 0.500)
P (0.000, 0.820, 0.500)
P (0.166, 0.685, 0.000)
P (0.180, 0.180, 0.500)
P (0.315, 0.481, 0.000)
P (0.367, 0.000, 0.500)
P (0.481, 0.315, 0.000)
P (0.519, 0.834, 0.000)
P (0.633, 0.633, 0.500)
P (0.685, 0.166, 0.000)
P (0.820, 0.000, 0.500)
P (0.834, 0.519, 0.000)

---

Entry 8:
First-principles (PBEsol) data for a relaxed VCoP crystal, as listed in Alexandria via LeMat-Bulk.

Summary:
The value obtained for the formation energy from the elements is -0.9367 eV/atom. As for the electronic total energy: -8.66 eV per atom. The space group is No. 62. The value obtained for the density of states at the Fermi level is 2.714 states/eV/f.u.

Cell lengths 5.791, 3.466, 6.608 Å; angles 90.00, 90.00, 90.00 degrees
Fractional positions:
V (0.029, 0.250, 0.169)
V (0.471, 0.750, 0.669)
V (0.529, 0.250, 0.331)
V (0.971, 0.750, 0.831)
Co (0.143, 0.250, 0.561)
Co (0.357, 0.750, 0.061)
Co (0.643, 0.250, 0.939)
Co (0.857, 0.750, 0.439)
P (0.233, 0.750, 0.375)
P (0.267, 0.250, 0.875)
P (0.733, 0.750, 0.125)
P (0.767, 0.250, 0.625)

---

Entry 9:
First-principles (PBEsol) data for a relaxed Co3PW2 crystal, as listed in Alexandria via LeMat-Bulk.

Summary:
The value obtained for the formation energy from the elements is -0.3596 eV/atom. As for the electronic total energy: -9.80 eV per atom. The space group is No. 194. The value obtained for the density of states at the Fermi level is 6.013 states/eV/f.u.

Cell lengths 4.697, 4.697, 7.226 Å; angles 90.00, 90.00, 120.00 degrees
Fractional positions:
Co (0.169, 0.337, 0.250)
Co (0.169, 0.831, 0.250)
Co (0.337, 0.169, 0.750)
Co (0.663, 0.831, 0.250)
Co (0.831, 0.169, 0.750)
Co (0.831, 0.663, 0.750)
P (0.000, 0.000, 0.000)
P (0.000, 0.000, 0.500)
W (0.333, 0.667, 0.564)
W (0.333, 0.667, 0.936)
W (0.667, 0.333, 0.064)
W (0.667, 0.333, 0.436)

---

Entry 10:
First-principles (PBEsol) data for a relaxed Co2PW crystal, as listed in Alexandria via LeMat-Bulk.

Summary:
The value obtained for the formation energy from the elements is 0.1304 eV/atom. As for the electronic total energy: -8.64 eV per atom. The space group is No. 12. The value obtained for the density of states at the Fermi level is 4.279 states/eV/f.u.

Cell lengths 4.823, 4.823, 2.664 Å; angles 104.17, 104.17, 118.58 degrees
Fractional positions:
Co (0.000, 0.500, 0.000)
Co (0.500, 0.000, 0.000)
P (0.000, 0.000, 0.500)
W (0.500, 0.500, 0.500)

---

Entry 11:
First-principles (PBEsol) data for a relaxed Co2PW crystal, as listed in Alexandria via LeMat-Bulk.

Summary:
The value obtained for the formation energy from the elements is -0.0718 eV/atom. As for the electronic total energy: -8.84 eV per atom. The space group is No. 166. The value obtained for the density of states at the Fermi level is 4.058 states/eV/f.u.

Cell lengths 7.827, 7.827, 7.827 Å; angles 19.64, 19.64, 19.64 degrees
Fractional positions:
Co (0.239, 0.239, 0.239)
Co (0.761, 0.761, 0.761)
P (0.500, 0.500, 0.500)
W (0.000, 0.000, 0.000)

---

Entry 12:
First-principles (PBEsol) data for a relaxed CoP2W2 crystal, as listed in Alexandria via LeMat-Bulk.

Summary:
The value obtained for the formation energy from the elements is 0.2162 eV/atom. As for the electronic total energy: -9.17 eV per atom. The space group is No. 139. The value obtained for the density of states at the Fermi level is 7.377 states/eV/f.u.

Cell lengths 5.294, 5.294, 5.294 Å; angles 134.29, 134.29, 66.64 degrees
Fractional positions:
Co (0.000, 0.000, 0.000)
P (0.382, 0.382, 0.000)
P (0.618, 0.618, 0.000)
W (0.250, 0.750, 0.500)
W (0.750, 0.250, 0.500)